# 1
Entry from the Alexandria database: crystalline VPd12Pb3 at its relaxed geometry (PBE-GGA).

It has space group P4/mmm (No. 123), with a = 4.054 Å, b = 4.054 Å, c = 16.239 Å, α = 90.00°, β = 90.00° and γ = 90.00°. Symmetry generates all atoms from V at (0.000, 0.000, 0.000), Pd at (0.000, 0.500, 0.113), Pd at (0.000, 0.500, 0.372), Pd at (0.500, 0.500, 0.000), Pd at (0.500, 0.500, 0.243), Pd at (0.500, 0.500, 0.500), Pb at (0.000, 0.000, 0.244) and Pb at (0.000, 0.000, 0.500).

The value obtained for the density of states at the Fermi level is 0.37 states/eV per atom. The value obtained for the energy is -5.4274 eV/atom. The spin magnetization comes out at 1.061 μB per formula unit. As for the calculated formation energy: -0.268 eV per atom.

# 2
Entry from the Alexandria database: crystalline PdPbW3 at its relaxed geometry (PBE-GGA).

It has space group Pm-3m (No. 221), with a = 4.800 Å, b = 4.800 Å, c = 4.800 Å, α = 90.00°, β = 90.00° and γ = 90.00°. Symmetry generates all atoms from Pd at (0.000, 0.000, 0.000), Pb at (0.500, 0.500, 0.500) and W at (0.000, 0.000, 0.500).

The value obtained for the density of states at the Fermi level is 1.45 states/eV per atom. The value obtained for the energy is -7.3639 eV/atom. The spin magnetization comes out at 0.000 μB per formula unit. As for the calculated formation energy: 2.188 eV per atom. The value obtained for the relative energy among the computed polymorphs is 0.0 kJ per mole of atoms.

# 3
Entry from the Alexandria database: crystalline Pd12Pb3W at its relaxed geometry (PBE-GGA).

It has space group P4/mmm (No. 123), with a = 4.055 Å, b = 4.055 Å, c = 16.376 Å, α = 90.00°, β = 90.00° and γ = 90.00°. Symmetry generates all atoms from Pd at (0.000, 0.000, 0.000), Pd at (0.000, 0.000, 0.242), Pd at (0.000, 0.000, 0.500), Pd at (0.000, 0.500, 0.113), Pd at (0.000, 0.500, 0.373), Pb at (0.500, 0.500, 0.249), Pb at (0.500, 0.500, 0.500) and W at (0.500, 0.500, 0.000).

The value obtained for the density of states at the Fermi level is 0.46 states/eV per atom. The value obtained for the energy is -5.5986 eV/atom. The spin magnetization comes out at 0.863 μB per formula unit. As for the calculated formation energy: -0.199 eV per atom.

# 4
Entry from the Alexandria database: crystalline PdPbW3 at its relaxed geometry (PBE-GGA).

It has space group Pm-3m (No. 221), with a = 4.950 Å, b = 4.950 Å, c = 4.950 Å, α = 90.00°, β = 90.00° and γ = 90.00°. Symmetry generates all atoms from Pd at (0.000, 0.000, 0.000), Pb at (0.500, 0.500, 0.500) and W at (0.000, 0.500, 0.500).

The value obtained for the density of states at the Fermi level is 1.36 states/eV per atom. The value obtained for the energy is -6.2952 eV/atom. The spin magnetization comes out at 0.000 μB per formula unit. As for the calculated formation energy: 3.257 eV per atom. The value obtained for the relative energy among the computed polymorphs is 103.1 kJ per mole of atoms.

# 5
Entry from the Alexandria database: crystalline Pd2PbW at its relaxed geometry (PBE-GGA).

It has space group I-42d (No. 122), with a = 7.401 Å, b = 7.401 Å, c = 5.646 Å, α = 90.00°, β = 90.00° and γ = 90.00°. Symmetry generates all atoms from Pd at (0.227, 0.750, 0.125), Pb at (0.000, 0.000, 0.500) and W at (0.000, 0.000, 0.000).

The value obtained for the density of states at the Fermi level is 1.22 states/eV per atom. The value obtained for the energy is -6.1750 eV/atom. The spin magnetization comes out at 0.000 μB per formula unit. As for the calculated formation energy: 0.587 eV per atom.

# 6
Entry from the Alexandria database: crystalline PdPb3W at its relaxed geometry (PBE-GGA).

It has space group Pm-3m (No. 221), with a = 5.368 Å, b = 5.368 Å, c = 5.368 Å, α = 90.00°, β = 90.00° and γ = 90.00°. Symmetry generates all atoms from Pd at (0.000, 0.000, 0.000), Pb at (0.000, 0.500, 0.500) and W at (0.500, 0.500, 0.500).

The value obtained for the density of states at the Fermi level is 0.58 states/eV per atom. The value obtained for the energy is -4.9619 eV/atom. The spin magnetization comes out at 0.000 μB per formula unit. As for the calculated formation energy: 0.892 eV per atom. The value obtained for the relative energy among the computed polymorphs is 0.0 kJ per mole of atoms.